1.
A PBEsol-optimized structure of HfTa3Mo. Source: Alexandria via LeMat-Bulk, functional meta-GGA SCAN.

Results
- Crystal system: cubic
- Calculated formation energy: 2.18 eV per atom
- Space-group type: Pm-3m, No. 221

Cell lengths 4.7526, 4.7526, 4.7526 Å; angles 90.00, 90.00, 90.00 degrees
Last column: nearest neighbours and their distance in Å.
Fractional coordinates of all 5 atoms:
Mo 0.5000 0.5000 0.5000  12 Ta 3.36
Hf 0.0000 0.0000 0.0000  6 Ta 2.38
Ta 0.0000 0.5000 0.0000  2 Hf 2.38
Ta 0.0000 0.0000 0.5000  2 Hf 2.38
Ta 0.5000 0.0000 0.0000  2 Hf 2.38

=====

2.
A PBEsol-optimized structure of MgMnSi2. Source: Alexandria via LeMat-Bulk, functional meta-GGA SCAN.

Results
- Crystal system: tetragonal
- Formation energy from raw total energies: -0.083 eV/atom
- Space-group type: P4/mmm, No. 123

Cell lengths 2.8782, 2.8782, 6.6479 Å; angles 90.00, 90.00, 90.00 degrees
Last column: nearest neighbours and their distance in Å.
Fractional coordinates of all 4 atoms:
Mg 0.5000 0.5000 0.0000  4 Mg 2.88, 8 Si 2.89
Mn 0.5000 0.5000 0.5000  8 Si 2.40
Si 0.0000 0.0000 0.6911  4 Mn 2.40, 1 Si 2.54
Si 0.0000 0.0000 0.3089  4 Mn 2.40, 1 Si 2.54

=====

3.
A PBEsol-optimized structure of ReAsRhSe2. Source: Alexandria via LeMat-Bulk, functional meta-GGA SCAN.

Results
- Crystal system: tetragonal
- Formation energy from raw total energies: 1.092 eV/atom
- E above lowest polymorph: 0 meV/atom
- Space-group type: P4/mmm, No. 123

Cell lengths 4.7298, 4.7496, 4.7496 Å; angles 90.00, 90.00, 90.00 degrees
Last column: nearest neighbours and their distance in Å.
Fractional coordinates of all 5 atoms:
Re 0.0000 0.0000 0.0000  2 As 2.36, 4 Se 2.37
As 0.5000 0.0000 0.0000  2 Re 2.36
Rh 0.5000 0.5000 0.5000  8 Se 3.35, 4 As 3.36
Se 0.0000 0.0000 0.5000  2 Re 2.37
Se 0.0000 0.5000 0.0000  2 Re 2.37

=====

4.
A PBEsol-optimized structure of CdPbBr2. Source: Alexandria via LeMat-Bulk, functional meta-GGA SCAN.

Results
- Crystal system: orthorhombic
- Formation energy from raw total energies: -0.323 eV/atom
- E above lowest polymorph: 122 meV/atom
- Space-group type: Cmmm, No. 65

Cell lengths 4.2735, 5.0159, 5.0159 Å; angles 90.07, 90.00, 90.00 degrees
Last column: nearest neighbours and their distance in Å.
Fractional coordinates of all 4 atoms:
Pb 0.5000 0.5000 0.5000  8 Br 3.29, 4 Cd 3.54-3.55
Br 0.0000 0.5000 0.0000  4 Cd 3.29, 4 Pb 3.29, 4 Br 3.54-3.55
Br 0.0000 0.0000 0.5000  4 Pb 3.29, 4 Cd 3.29, 4 Br 3.54-3.55
Cd 0.5000 0.0000 0.0000  8 Br 3.29, 4 Pb 3.54-3.55

=====

5.
A PBEsol-optimized structure of ZrMoSe2. Source: Alexandria via LeMat-Bulk, functional meta-GGA SCAN.

Results
- Crystal system: monoclinic
- Formation energy from raw total energies: -0.555 eV/atom
- E above lowest polymorph: 0 meV/atom
- Space-group type: Cm, No. 8

Cell lengths 3.3118, 4.6692, 4.8794 Å; angles 102.59, 109.84, 90.00 degrees
Last column: nearest neighbours and their distance in Å.
Fractional coordinates of all 4 atoms:
Mo 0.7388 0.1664 0.4775  5 Se 2.62-2.72
Se 0.0114 0.0747 0.0227  3 Mo 2.62-2.63, 4 Zr 2.79-2.93
Se 0.2436 0.7053 0.4872  3 Zr 2.67-2.70, 2 Mo 2.72
Zr 0.5063 0.5536 0.0125  7 Se 2.67-2.93

=====

6.
A PBEsol-optimized structure of ReHgPCl2. Source: Alexandria via LeMat-Bulk, functional meta-GGA SCAN.

Results
- Crystal system: tetragonal
- Formation energy from raw total energies: 1.418 eV/atom
- Space-group type: P4/mmm, No. 123

Cell lengths 4.9576, 4.9576, 5.1481 Å; angles 90.00, 90.00, 90.00 degrees
Last column: nearest neighbours and their distance in Å.
Fractional coordinates of all 5 atoms:
Re 0.5000 0.5000 0.5000  4 P 3.51, 8 Cl 3.57
Hg 0.0000 0.0000 0.0000  4 Cl 2.48, 2 P 2.57
P 0.0000 0.0000 0.5000  2 Hg 2.57
Cl 0.0000 0.5000 0.0000  2 Hg 2.48
Cl 0.5000 0.0000 0.0000  2 Hg 2.48

=====

7.
A PBEsol-optimized structure of CuH12Br4N2O2. Source: Alexandria via LeMat-Bulk, functional meta-GGA SCAN.

Results
- Crystal system: tetragonal
- Space-group type: P4_2/mnm, No. 136

Cell lengths 7.8447, 7.8447, 8.0994 Å; angles 90.00, 90.00, 90.00 degrees
Last column: nearest neighbours and their distance in Å.
Fractional coordinates of all 42 atoms:
Cu 0.5000 0.5000 0.5000  2 O 1.92
Cu 0.0000 0.0000 0.0000  2 O 1.92
H 0.9267 0.9267 0.6913  1 O 1.00
H 0.0733 0.0733 0.6913  1 O 1.00
H 0.9267 0.9267 0.3087  1 O 1.00
H 0.4267 0.5733 0.1913  1 O 1.00
H 0.5733 0.4267 0.1913  1 O 1.00
H 0.5733 0.4267 0.8087  1 O 1.00
H 0.4267 0.5733 0.8087  1 O 1.00
H 0.0733 0.0733 0.3087  1 O 1.00
H 0.0720 0.4185 0.3241  1 N 1.04
H 0.9280 0.5815 0.3241  1 N 1.04
H 0.4185 0.0720 0.6759  1 N 1.04
H 0.9185 0.4280 0.8241  1 N 1.04
H 0.0815 0.5720 0.8241  1 N 1.04
H 0.4280 0.9185 0.1759  1 N 1.04
H 0.5720 0.0815 0.1759  1 N 1.04
H 0.5815 0.9280 0.6759  1 N 1.04
H 0.9280 0.5815 0.6759  1 N 1.04
H 0.0720 0.4185 0.6759  1 N 1.04
H 0.4185 0.0720 0.3241  1 N 1.04
H 0.4280 0.9185 0.8241  1 N 1.04
H 0.5720 0.0815 0.8241  1 N 1.04
H 0.9185 0.4280 0.1759  1 N 1.04
H 0.0815 0.5720 0.1759  1 N 1.04
H 0.5815 0.9280 0.3241  1 N 1.04
Br 0.2183 0.2183 0.5000  6 H 2.23-2.41
Br 0.7183 0.2817 0.0000  6 H 2.23-2.41
Br 0.7834 0.7834 0.0000  1 Cu 2.40
Br 0.7166 0.2834 0.5000  1 Cu 2.40
Br 0.2834 0.7166 0.5000  1 Cu 2.40
Br 0.2166 0.2166 0.0000  1 Cu 2.40
Br 0.2817 0.7183 0.0000  6 H 2.23-2.41
Br 0.7817 0.7817 0.5000  6 H 2.23-2.41
N 0.0000 0.5000 0.7500  4 H 1.04
N 0.0000 0.5000 0.2500  4 H 1.04
N 0.5000 0.0000 0.7500  4 H 1.04
N 0.5000 0.0000 0.2500  4 H 1.04
O 0.0000 0.0000 0.7624  2 H 1.00
O 0.5000 0.5000 0.2624  2 H 1.00
O 0.5000 0.5000 0.7376  2 H 1.00
O 0.0000 0.0000 0.2376  2 H 1.00

=====

8.
A PBEsol-optimized structure of CoIr2Pt. Source: Alexandria via LeMat-Bulk, functional meta-GGA SCAN.

Results
- Crystal system: cubic
- Calculated formation energy: 0.27 eV per atom
- E above lowest polymorph: 288 meV/atom
- Space-group type: Fm-3m, No. 225

Cell lengths 4.2765, 4.2765, 4.2765 Å; angles 60.00, 60.00, 60.00 degrees
Last column: nearest neighbours and their distance in Å.
Fractional coordinates of all 4 atoms:
Ir 0.2500 0.2500 0.2500  4 Co 2.62, 4 Pt 2.62
Ir 0.7500 0.7500 0.7500  4 Co 2.62, 4 Pt 2.62
Co 0.0000 0.0000 0.0000  8 Ir 2.62
Pt 0.5000 0.5000 0.5000  8 Ir 2.62

=====

9.
A PBEsol-optimized structure of La3TeRu. Source: Alexandria via LeMat-Bulk, functional meta-GGA SCAN.

Results
- Crystal system: cubic
- Formation energy from raw total energies: -0.705 eV/atom
- Space-group type: Pm-3m, No. 221

Cell lengths 5.3671, 5.3671, 5.3671 Å; angles 90.00, 90.00, 90.00 degrees
Last column: nearest neighbours and their distance in Å.
Fractional coordinates of all 5 atoms:
Ru 0.0000 0.0000 0.0000  6 La 2.68
Te 0.5000 0.5000 0.5000  12 La 3.80
La 0.0000 0.5000 0.0000  2 Ru 2.68
La 0.0000 0.0000 0.5000  2 Ru 2.68
La 0.5000 0.0000 0.0000  2 Ru 2.68

=====

10.
A PBEsol-optimized structure of NaYB2N. Source: Alexandria via LeMat-Bulk, functional meta-GGA SCAN.

Results
- Crystal system: tetragonal
- Formation energy from raw total energies: 1.037 eV/atom
- Space-group type: P4/mmm, No. 123

Cell lengths 3.8860, 3.8860, 4.3742 Å; angles 90.00, 90.00, 90.00 degrees
Last column: nearest neighbours and their distance in Å.
Fractional coordinates of all 5 atoms:
Y 0.0000 0.0000 0.5000  2 N 2.19
Na 0.5000 0.5000 0.5000  4 Y 2.75, 8 B 2.93
B 0.0000 0.5000 0.0000  2 N 1.94
B 0.5000 0.0000 0.0000  2 N 1.94
N 0.0000 0.0000 0.0000  4 B 1.94

=====

11.
A PBEsol-optimized structure of SbAsSCl2. Source: Alexandria via LeMat-Bulk, functional meta-GGA SCAN.

Results
- Crystal system: tetragonal
- Formation energy from raw total energies: 0.171 eV/atom
- Space-group type: P4/mmm, No. 123

Cell lengths 4.8347, 4.8347, 4.9175 Å; angles 90.00, 90.00, 90.00 degrees
Last column: nearest neighbours and their distance in Å.
Fractional coordinates of all 5 atoms:
Sb 0.5000 0.5000 0.5000  4 S 3.42, 8 Cl 3.45
As 0.0000 0.0000 0.0000  4 Cl 2.42, 2 S 2.46
S 0.0000 0.0000 0.5000  2 As 2.46
Cl 0.0000 0.5000 0.0000  2 As 2.42
Cl 0.5000 0.0000 0.0000  2 As 2.42

=====

12.
A PBEsol-optimized structure of NiPdS3. Source: Alexandria via LeMat-Bulk, functional meta-GGA SCAN.

Results
- Crystal system: cubic
- Formation energy from raw total energies: 0.915 eV/atom
- Space-group type: Pm-3m, No. 221

Cell lengths 4.5879, 4.5879, 4.5879 Å; angles 90.00, 90.00, 90.00 degrees
Last column: nearest neighbours and their distance in Å.
Fractional coordinates of all 5 atoms:
Ni 0.5000 0.5000 0.5000  12 S 3.24
S 0.0000 0.5000 0.0000  2 Pd 2.29
S 0.0000 0.0000 0.5000  2 Pd 2.29
S 0.5000 0.0000 0.0000  2 Pd 2.29
Pd 0.0000 0.0000 0.0000  6 S 2.29

=====

13.
A PBEsol-optimized structure of Ag2PtAu. Source: Alexandria via LeMat-Bulk, functional meta-GGA SCAN.

Results
- Crystal system: orthorhombic
- Calculated formation energy: 0.03 eV per atom
- E above lowest polymorph: 84 meV/atom
- Space-group type: Imm2, No. 44

Cell lengths 2.8828, 4.7492, 5.5077 Å; angles 115.54, 105.17, 90.00 degrees
Last column: nearest neighbours and their distance in Å.
Fractional coordinates of all 4 atoms:
Au 0.5029 0.5029 0.0057  2 Pt 2.75, 6 Ag 2.78-2.80, 2 Au 2.88
Pt 0.2488 0.7488 0.4976  2 Au 2.75, 6 Ag 2.77-2.78, 2 Pt 2.88
Ag 0.9974 0.9974 0.9947  2 Pt 2.77, 4 Au 2.78, 4 Ag 2.81-2.88
Ag 0.7510 0.2510 0.5019  4 Pt 2.78, 2 Au 2.80, 4 Ag 2.81-2.88

=====

14.
A PBEsol-optimized structure of BaHgOs. Source: Alexandria via LeMat-Bulk, functional meta-GGA SCAN.

Results
- Crystal system: cubic
- Calculated formation energy: 1.51 eV per atom
- Space-group type: F-43m, No. 216

Cell lengths 5.1611, 5.1611, 5.1611 Å; angles 60.00, 60.00, 60.00 degrees
Last column: nearest neighbours and their distance in Å.
Fractional coordinates of all 3 atoms:
Os 0.5000 0.5000 0.5000  4 Ba 3.16
Hg 0.0000 0.0000 0.0000  4 Ba 3.16
Ba 0.2500 0.2500 0.2500  4 Hg 3.16, 4 Os 3.16

=====

15.
A PBEsol-optimized structure of RbSnO2F. Source: Alexandria via LeMat-Bulk, functional meta-GGA SCAN.

Results
- Crystal system: tetragonal
- Formation energy from raw total energies: -2.029 eV/atom
- Space-group type: P4/mmm, No. 123

Cell lengths 4.0269, 4.0269, 4.4351 Å; angles 90.00, 90.00, 90.00 degrees
Last column: nearest neighbours and their distance in Å.
Fractional coordinates of all 5 atoms:
O 0.0000 0.5000 0.0000  2 Sn 2.01
O 0.5000 0.0000 0.0000  2 Sn 2.01
Sn 0.0000 0.0000 0.0000  4 O 2.01, 2 F 2.22
Rb 0.5000 0.5000 0.5000  4 F 2.85, 8 O 3.00
F 0.0000 0.0000 0.5000  2 Sn 2.22

=====

16.
A PBEsol-optimized structure of MnNbReO2. Source: Alexandria via LeMat-Bulk, functional meta-GGA SCAN.

Results
- Crystal system: tetragonal
- Formation energy from raw total energies: -0.438 eV/atom
- Space-group type: P4/mmm, No. 123

Cell lengths 3.8329, 3.8329, 5.4698 Å; angles 90.00, 90.00, 90.00 degrees
Last column: nearest neighbours and their distance in Å.
Fractional coordinates of all 5 atoms:
Re 0.0000 0.0000 0.5000  4 Mn 2.71, 2 Nb 2.73
Nb 0.0000 0.0000 0.0000  4 O 1.92
Mn 0.5000 0.5000 0.5000  4 Re 2.71
O 0.0000 0.5000 0.0000  2 Nb 1.92
O 0.5000 0.0000 0.0000  2 Nb 1.92

=====

17.
A PBEsol-optimized structure of ZnAu3Cl. Source: Alexandria via LeMat-Bulk, functional meta-GGA SCAN.

Results
- Crystal system: cubic
- Formation energy from raw total energies: 0.994 eV/atom
- Space-group type: Pm-3m, No. 221

Cell lengths 4.8448, 4.8448, 4.8448 Å; angles 90.00, 90.00, 90.00 degrees
Last column: nearest neighbours and their distance in Å.
Fractional coordinates of all 5 atoms:
Zn 0.5000 0.5000 0.5000  12 Au 3.43
Au 0.0000 0.5000 0.0000  2 Cl 2.42
Au 0.0000 0.0000 0.5000  2 Cl 2.42
Au 0.5000 0.0000 0.0000  2 Cl 2.42
Cl 0.0000 0.0000 0.0000  6 Au 2.42

=====

18.
A PBEsol-optimized structure of ZnCuPt2. Source: Alexandria via LeMat-Bulk, functional meta-GGA SCAN.

Results
- Crystal system: monoclinic
- Calculated formation energy: -0.33 eV per atom
- Space-group type: C2/m, No. 12

Cell lengths 2.7431, 4.5103, 4.7617 Å; angles 100.05, 90.00, 107.70 degrees
Last column: nearest neighbours and their distance in Å.
Fractional coordinates of all 4 atoms:
Zn 0.5000 0.0000 0.0000  6 Pt 2.64-2.65, 2 Zn 2.74, 4 Cu 2.75
Cu 0.0000 0.0000 0.5000  6 Pt 2.63-2.64, 2 Cu 2.74, 4 Zn 2.75
Pt 0.7509 0.5018 0.7481  3 Cu 2.63-2.64, 3 Zn 2.64-2.65, 6 Pt 2.73-2.77
Pt 0.2491 0.4982 0.2519  3 Cu 2.63-2.64, 3 Zn 2.64-2.65, 6 Pt 2.73-2.77

=====

19.
A PBEsol-optimized structure of YAsI3. Source: Alexandria via LeMat-Bulk, functional meta-GGA SCAN.

Results
- Crystal system: cubic
- Formation energy from raw total energies: -0.567 eV/atom
- Space-group type: Pm-3m, No. 221

Cell lengths 5.9241, 5.9241, 5.9241 Å; angles 90.00, 90.00, 90.00 degrees
Last column: nearest neighbours and their distance in Å.
Fractional coordinates of all 5 atoms:
I 0.0000 0.5000 0.0000  2 Y 2.96
I 0.0000 0.0000 0.5000  2 Y 2.96
I 0.5000 0.0000 0.0000  2 Y 2.96
Y 0.0000 0.0000 0.0000  6 I 2.96
As 0.5000 0.5000 0.5000  12 I 4.19

=====

20.
A PBEsol-optimized structure of Ta2NiH2. Source: Alexandria via LeMat-Bulk, functional meta-GGA SCAN.

Results
- Crystal system: tetragonal
- Space-group type: I4/mmm, No. 139

Cell lengths 2.9009, 2.9009, 6.3612 Å; angles 103.18, 103.18, 90.00 degrees
Last column: nearest neighbours and their distance in Å.
Fractional coordinates of all 5 atoms:
Ni 0.0000 0.0000 0.0000  8 Ta 2.66, 4 Ni 2.90
Ta 0.3600 0.3600 0.7199  4 H 1.96
Ta 0.6400 0.6400 0.2801  4 H 1.96
H 0.2500 0.7500 0.5000  4 Ta 1.96, 4 H 2.05
H 0.7500 0.2500 0.5000  4 Ta 1.96, 4 H 2.05

=====

no.,total energy (eV/cell),volume (Å³ per atom)
1,-286.394,21.47
2,-43.591,13.77
3,-159.755,21.34
4,-146.405,26.88
5,-107.959,17.26
6,-158.529,25.31
7,-359.954,11.87
8,-228.613,13.83
9,-204.918,30.92
10,-51.025,13.21
11,-82.178,22.99
12,-73.259,19.31
13,-201.962,16.28
14,-175.061,32.40
15,-82.810,14.38
16,-137.135,16.07
17,-223.996,22.74
18,-170.440,13.79
19,-161.091,41.58
20,-156.974,10.13